{
  "formula": "Sr3CrF",
  "functional": "PBE with a Hubbard U",
  "state": "optimized geometry",
  "cell": [[5.4527, 0.0000, 0.0000], [0.0000, 5.4527, 0.0000], [0.0000, 0.0000, 5.4527]],
  "species": ["Sr", "Sr", "Sr", "Cr", "F"],
  "frac_coords": [[0.0000, 0.0000, 0.5000], [0.0000, 0.5000, 0.0000], [0.5000, 0.0000, 0.0000], [0.5000, 0.5000, 0.5000], [0.0000, 0.0000, 0.0000]],
  "energy_ev_per_cell": -18.57,
  "magmom_total_mub_per_cell": 5.0,
  "relative_energy_ev_per_atom": 0.000,
  "sg": "No. 221"
}